Computed, not measured: crystalline AgBrCl2 at its relaxed geometry at the GGA-PBEsol level of DFT.

Properties
Volume in Å³/cell: 203
DOS at the Fermi energy in states/eV per cell: 0.24
Polymorph energy (0 for the lowest one) in eV per atom: 0.141
Final energy in eV/atom: -2.3620

a = 3.6607 Å, b = 7.0548 Å, c = 7.8749 Å
α = 90.00°, β = 90.00°, γ = 90.00°
Last column: nearest neighbours and their distance in Å.
Element x y z (fractional)
Ag 0.0000 0.0000 0.0000  2 Cl 2.39, 2 Br 2.53
Ag 0.5000 0.5000 0.0000  2 Cl 2.39, 2 Br 2.53
Br 0.0000 0.5000 0.2214  2 Ag 2.53, 2 Cl 2.71
Br 0.5000 0.0000 0.2214  2 Ag 2.53, 2 Cl 2.71
Cl 0.0000 0.0000 0.4746  2 Br 2.71
Cl 0.0000 0.5000 0.8041  2 Ag 2.39
Cl 0.5000 0.0000 0.8041  2 Ag 2.39
Cl 0.5000 0.5000 0.4746  2 Br 2.71